i) LiPb2W: optimized geometry, PBE.

Properties
crystal system	trigonal
calculated density	11.64	g cm⁻³
M_tot	0.14	μB/f.u.

```
LiPb2W
1.0
1.6499 0.9526 9.1583
-1.6499 0.9526 9.1583
0.0000 -1.9051 9.1583
Li Pb W
1 2 1
Direct
0.0000 0.0000 0.0000
0.2483 0.2483 0.2483
0.7517 0.7517 0.7517
0.5000 0.5000 0.5000
```

ii) LiPb2W: optimized geometry, PBE.

Properties
crystal system	monoclinic
calculated density	11.85	g cm⁻³
M_tot	0.00	μB/f.u.

```
LiPb2W
1.0
5.5502 -1.5265 0.0000
5.5502 1.5265 0.0000
-0.5441 0.0000 5.0062
Li Pb W
1 2 1
Direct
0.0000 0.0000 0.0000
0.5252 0.5252 0.5296
0.7615 0.7615 0.2009
0.2709 0.2709 0.7161
```

iii) LiPb2W: optimized geometry, PBE.

Properties
crystal system	tetragonal
calculated density	10.58	g cm⁻³
M_tot	0.00	μB/f.u.

```
LiPb2W
1.0
2.9934 0.0000 0.0000
0.0000 2.9934 0.0000
0.0000 0.0000 10.6033
Li Pb W
1 2 1
Direct
0.0000 0.0000 0.0000
0.0000 0.0000 0.5931
0.5000 0.5000 0.2110
0.5000 0.5000 0.8126
```

i) is the most stable structure shown above.